Record 1
# Gd2NpSc, relaxed, DFT PBE
data_Gd2NpSc
_cell_length_a 3.2999
_cell_length_b 3.2999
_cell_length_c 35.9226
_cell_angle_alpha 90.00
_cell_angle_beta 90.00
_cell_angle_gamma 120.00
_space_group_name_H-M_alt 'R -3 m'
_space_group_IT_number 166
_space_group_name_Hall '-R 3 2"'
loop_
_atom_site_label
_atom_site_type_symbol
_atom_site_fract_x
_atom_site_fract_y
_atom_site_fract_z
Gd1 Gd 0.0000 0.0000 0.0894
Np1 Np 0.0000 0.0000 0.0000
Sc1 Sc 0.0000 0.0000 0.5000
# Energy of formation from the pure elements, meV/atom: 450
# E_tot, eV per atom: -11.409

Record 2
# GdNpSe2, relaxed, DFT PBE
data_GdNpSe2
_cell_length_a 4.1007
_cell_length_b 4.1007
_cell_length_c 20.3143
_cell_angle_alpha 90.00
_cell_angle_beta 90.00
_cell_angle_gamma 120.00
_space_group_name_H-M_alt 'R -3 m'
_space_group_IT_number 166
_space_group_name_Hall '-R 3 2"'
loop_
_atom_site_label
_atom_site_type_symbol
_atom_site_fract_x
_atom_site_fract_y
_atom_site_fract_z
Gd1 Gd 0.0000 0.0000 0.0000
Np1 Np 0.0000 0.0000 0.5000
Se1 Se 0.0000 0.0000 0.2499
# Formation energy without anion corrections, eV per atom: -1.471
# E_tot, eV per atom: -9.969

Record 3
# GdNpSi2, relaxed, DFT PBE
data_GdNpSi2
_cell_length_a 3.9874
_cell_length_b 3.9874
_cell_length_c 21.0964
_cell_angle_alpha 90.00
_cell_angle_beta 90.00
_cell_angle_gamma 120.00
_space_group_name_H-M_alt 'R -3 m'
_space_group_IT_number 166
_space_group_name_Hall '-R 3 2"'
loop_
_atom_site_label
_atom_site_type_symbol
_atom_site_fract_x
_atom_site_fract_y
_atom_site_fract_z
Gd1 Gd 0.0000 0.0000 0.0000
Np1 Np 0.0000 0.0000 0.5000
Si1 Si 0.0000 0.0000 0.2462
# Formation energy without anion corrections, eV per atom: -0.117
# E_tot, eV per atom: -9.584

Record 4
# TbGd2Np, relaxed, DFT PBE
data_TbGd2Np
_cell_length_a 3.3884
_cell_length_b 3.3884
_cell_length_c 36.4315
_cell_angle_alpha 90.00
_cell_angle_beta 90.00
_cell_angle_gamma 120.00
_space_group_name_H-M_alt 'R -3 m'
_space_group_IT_number 166
_space_group_name_Hall '-R 3 2"'
loop_
_atom_site_label
_atom_site_type_symbol
_atom_site_fract_x
_atom_site_fract_y
_atom_site_fract_z
Tb1 Tb 0.0000 0.0000 0.0000
Gd1 Gd 0.0000 0.0000 0.0917
Np1 Np 0.0000 0.0000 0.5000
# Energy of formation from the pure elements, meV/atom: 386
# E_tot, eV per atom: -11.047

Record 5
# GdNpTc4, relaxed, DFT PBE
data_GdNpTc4
_cell_length_a 7.625
_cell_length_b 7.625
_cell_length_c 7.625
_cell_angle_alpha 90.00
_cell_angle_beta 90.00
_cell_angle_gamma 90.00
_space_group_name_H-M_alt 'F -4 3 m'
_space_group_IT_number 216
_space_group_name_Hall 'F -4 2 3'
loop_
_atom_site_label
_atom_site_type_symbol
_atom_site_fract_x
_atom_site_fract_y
_atom_site_fract_z
Gd1 Gd 0.000 0.000 0.000
Np1 Np 0.250 0.250 0.750
Tc1 Tc 0.125 0.125 0.375
# Energy of formation from the pure elements, meV/atom: 97
# E_tot, eV per atom: -11.317

Record 6
# GdTm2Np, relaxed, DFT PBE
data_GdTm2Np
_cell_length_a 3.4048
_cell_length_b 3.4048
_cell_length_c 34.3565
_cell_angle_alpha 90.00
_cell_angle_beta 90.00
_cell_angle_gamma 120.00
_space_group_name_H-M_alt 'R -3 m'
_space_group_IT_number 166
_space_group_name_Hall '-R 3 2"'
loop_
_atom_site_label
_atom_site_type_symbol
_atom_site_fract_x
_atom_site_fract_y
_atom_site_fract_z
Gd1 Gd 0.0000 0.0000 0.0000
Tm1 Tm 0.0000 0.0000 0.2473
Np1 Np 0.0000 0.0000 0.5000
# Energy of formation from the pure elements, meV/atom: 277
# E_tot, eV per atom: -8.714

Record 7
# Gd2YNp, relaxed, DFT PBE
data_Gd2YNp
_cell_length_a 3.4016
_cell_length_b 3.4016
_cell_length_c 36.7855
_cell_angle_alpha 90.00
_cell_angle_beta 90.00
_cell_angle_gamma 120.00
_space_group_name_H-M_alt 'R -3 m'
_space_group_IT_number 166
_space_group_name_Hall '-R 3 2"'
loop_
_atom_site_label
_atom_site_type_symbol
_atom_site_fract_x
_atom_site_fract_y
_atom_site_fract_z
Gd1 Gd 0.0000 0.0000 0.0868
Y1 Y 0.0000 0.0000 0.5000
Np1 Np 0.0000 0.0000 0.0000
# Energy of formation from the pure elements, meV/atom: 464
# E_tot, eV per atom: -11.428

Record 8
# GdNpZn4, relaxed, DFT PBE
data_GdNpZn4
_cell_length_a 7.742
_cell_length_b 7.742
_cell_length_c 7.742
_cell_angle_alpha 90.00
_cell_angle_beta 90.00
_cell_angle_gamma 90.00
_space_group_name_H-M_alt 'F -4 3 m'
_space_group_IT_number 216
_space_group_name_Hall 'F -4 2 3'
loop_
_atom_site_label
_atom_site_type_symbol
_atom_site_fract_x
_atom_site_fract_y
_atom_site_fract_z
Gd1 Gd 0.000 0.000 0.000
Np1 Np 0.250 0.250 0.250
Zn1 Zn 0.125 0.125 0.625
# Energy of formation from the pure elements, meV/atom: -77
# E_tot, eV per atom: -5.430

Record 9
# Gd2O3, relaxed, DFT PBE
data_Gd2O3
_cell_length_a 5.430
_cell_length_b 5.430
_cell_length_c 5.430
_cell_angle_alpha 90.00
_cell_angle_beta 90.00
_cell_angle_gamma 90.00
_space_group_name_H-M_alt 'P n -3 m'
_space_group_IT_number 224
loop_
_space_group_symop_operation_xyz
'x,y,z'
'-x,-y,-z'
'-y,x+1/2,z+1/2'
'y,-x+1/2,-z+1/2'
'-x+1/2,-y+1/2,z'
'x+1/2,y+1/2,-z'
'y+1/2,-x,z+1/2'
'-y+1/2,x,-z+1/2'
'x,-y+1/2,-z+1/2'
'-x,y+1/2,z+1/2'
'-y,-x,-z'
'y,x,z'
'-x+1/2,y,-z+1/2'
'x+1/2,-y,z+1/2'
'y+1/2,x+1/2,-z'
'-y+1/2,-x+1/2,z'
'z,x,y'
'-z,-x,-y'
'z+1/2,-y,x+1/2'
'-z+1/2,y,-x+1/2'
'z,-x+1/2,-y+1/2'
'-z,x+1/2,y+1/2'
'z+1/2,y+1/2,-x'
'-z+1/2,-y+1/2,x'
'-z+1/2,x,-y+1/2'
'z+1/2,-x,y+1/2'
'-z,-y,-x'
'z,y,x'
'-z+1/2,-x+1/2,y'
'z+1/2,x+1/2,-y'
'-z,y+1/2,x+1/2'
'z,-y+1/2,-x+1/2'
'y,z,x'
'-y,-z,-x'
'x+1/2,z+1/2,-y'
'-x+1/2,-z+1/2,y'
'-y+1/2,z,-x+1/2'
'y+1/2,-z,x+1/2'
'-x,z+1/2,y+1/2'
'x,-z+1/2,-y+1/2'
'-y+1/2,-z+1/2,x'
'y+1/2,z+1/2,-x'
'-x,-z,-y'
'x,z,y'
'y,-z+1/2,-x+1/2'
'-y,z+1/2,x+1/2'
'x+1/2,-z,y+1/2'
'-x+1/2,z,-y+1/2'
loop_
_atom_site_label
_atom_site_type_symbol
_atom_site_fract_x
_atom_site_fract_y
_atom_site_fract_z
Gd1 Gd 0.000 0.000 0.000
O1 O 0.250 0.250 0.750
# Formation energy without anion corrections, eV per atom: -3.048
# E_tot, eV per atom: -11.655

Record 10
# Gd3O, relaxed, DFT PBE
data_Gd3O
_cell_length_a 3.728
_cell_length_b 11.310
_cell_length_c 5.350
_cell_angle_alpha 90.00
_cell_angle_beta 90.00
_cell_angle_gamma 90.00
_space_group_name_H-M_alt 'I m m 2'
_space_group_IT_number 44
_space_group_name_Hall 'I 2 -2'
loop_
_atom_site_label
_atom_site_type_symbol
_atom_site_fract_x
_atom_site_fract_y
_atom_site_fract_z
Gd1 Gd 0.000 0.000 0.000
Gd2 Gd 0.000 0.332 0.035
O1 O 0.000 0.500 0.258
# Formation energy without anion corrections, eV per atom: -1.336
# E_tot, eV per atom: -13.136

Record 11
# GdO, relaxed, DFT PBE
data_GdO
_cell_length_a 5.382
_cell_length_b 5.382
_cell_length_c 5.382
_cell_angle_alpha 90.00
_cell_angle_beta 90.00
_cell_angle_gamma 90.00
_space_group_name_H-M_alt 'F -4 3 m'
_space_group_IT_number 216
_space_group_name_Hall 'F -4 2 3'
loop_
_atom_site_label
_atom_site_type_symbol
_atom_site_fract_x
_atom_site_fract_y
_atom_site_fract_z
Gd1 Gd 0.000 0.000 0.000
O1 O 0.250 0.250 0.750
# Formation energy without anion corrections, eV per atom: -2.695
# E_tot, eV per atom: -12.214

Record 12
# Gd2O3, relaxed, DFT PBE
data_Gd2O3
_cell_length_a 14.284
_cell_length_b 3.579
_cell_length_c 8.812
_cell_angle_alpha 90.00
_cell_angle_beta 100.38
_cell_angle_gamma 90.00
_space_group_name_H-M_alt 'C 1 2/m 1'
_space_group_IT_number 12
_space_group_name_Hall '-C 2y'
loop_
_atom_site_label
_atom_site_type_symbol
_atom_site_fract_x
_atom_site_fract_y
_atom_site_fract_z
Gd1 Gd 0.032 0.000 0.314
Gd2 Gd 0.135 0.500 0.989
Gd3 Gd 0.191 0.500 0.638
O1 O 0.000 0.500 0.500
O2 O 0.029 0.500 0.157
O3 O 0.128 0.000 0.783
O4 O 0.175 0.000 0.471
O5 O 0.205 0.000 0.123
# Formation energy without anion corrections, eV per atom: -3.436
# E_tot, eV per atom: -12.043

Question: Which of these has the highest E_tot?
Answer: GdNpZn4